[1]
3
Lattice="-1.888 -2.771 -1.200 0.563 -1.713 3.071 -4.247 4.623 1.293" Properties=species:S:1:pos:R:3 comment="ErPuGa (GGA-PBE, optimized geometry)" volume_a3_per_atom=24.91 relative_energy_mev_per_atom=0.0 total_energy_ev_per_atom=-7.526 ef_kj_per_mol_atoms=-21 total_magnetization_mub_per_fu=6.38 pbc="T T T"
Ga -1.839 -1.671 1.470
Pu -5.257 -0.014 3.020
Er -2.576 1.249 1.169

=====

[2]
4
Lattice="-1.375 -4.554 -0.871 2.064 -2.505 -3.585 2.987 -3.664 1.018" Properties=species:S:1:pos:R:3 comment="LuThCoRu (GGA-PBE, optimized geometry)" volume_a3_per_atom=19.99 total_energy_ev_per_atom=-7.423 ef_kj_per_mol_atoms=-33 total_magnetization_mub_per_fu=0.53 pbc="T T T"
Co 0.919 -2.681 -0.859
Ru 2.757 -8.043 -2.578
Lu 0.000 0.000 0.000
Th 1.838 -5.362 -1.719

=====

[3]
3
Lattice="-1.858 3.811 -2.071 -4.651 0.240 -0.761 -2.649 2.992 2.508" Properties=species:S:1:pos:R:3 comment="HoInGa (GGA-PBE, optimized geometry)" volume_a3_per_atom=24.76 relative_energy_mev_per_atom=110.4 total_energy_ev_per_atom=-3.796 ef_kj_per_mol_atoms=-34 total_magnetization_mub_per_fu=0.00 pbc="T T T"
Ga -2.290 1.761 -0.081
Ho -4.579 3.522 -0.162
In 0.000 0.000 0.000

=====

[4]
18
Lattice="6.174 0.000 0.000 0.000 7.005 0.000 -3.087 0.000 8.064" Properties=species:S:1:pos:R:3 comment="Pr2Ni4Sn3 (GGA-PBE, optimized geometry)" volume_a3_per_atom=19.38 total_energy_ev_per_atom=-5.403 ef_kj_per_mol_atoms=-42 total_magnetization_mub_per_fu=0.00 pbc="T T T"
Ni 1.544 1.751 1.194
Ni 0.000 3.473 5.403
Ni 3.087 0.030 5.403
Ni 1.544 5.254 6.870
Ni 0.000 6.975 2.661
Ni 3.087 3.533 2.661
Ni 4.631 1.751 1.194
Ni -1.544 5.254 6.870
Sn 3.087 3.503 0.000
Sn 1.544 5.254 4.224
Sn 1.544 1.751 3.841
Sn 0.000 0.000 0.000
Sn 4.631 1.751 3.841
Sn -1.544 5.254 4.224
Pr 0.000 4.063 1.672
Pr 0.000 0.561 6.392
Pr 3.087 2.942 6.392
Pr 3.087 6.444 1.672

=====

[5]
7
Lattice="-0.089 0.766 -3.640 -0.895 -7.739 -1.966 -7.375 -0.360 2.389" Properties=species:S:1:pos:R:3 comment="PtBr4N2 (GGA-PBE, optimized geometry)" volume_a3_per_atom=31.58 e_form_raw_mev_per_atom=942 total_energy_ev_per_atom=-3.256 total_magnetization_mub_per_fu=1.13 pbc="T T T"
Br -1.261 -0.690 -2.014
Br -3.455 -5.025 -1.525
Br -4.904 -2.310 -1.691
Br -7.098 -6.644 -1.202
N -3.636 -2.686 -0.566
N -4.723 -4.648 -2.650
Pt 0.000 0.000 0.000

=====

[6]
4
Lattice="5.236 -0.018 0.000 1.918 4.873 0.000 -3.577 -2.428 2.955" Properties=species:S:1:pos:R:3 comment="BeCd2As (GGA-PBE, optimized geometry)" volume_a3_per_atom=18.87 relative_energy_mev_per_atom=287.3 total_energy_ev_per_atom=-2.122 ef_kj_per_mol_atoms=41 total_magnetization_mub_per_fu=0.00 pbc="T T T"
Be 2.618 -0.009 1.478
Cd 0.959 2.436 1.478
Cd 0.000 0.000 0.000
As 3.577 2.428 0.000

=====

[7]
6
Lattice="2.467 -4.274 0.000 2.467 4.274 0.000 0.000 0.000 2.503" Properties=species:S:1:pos:R:3 comment="HgC5 (GGA-PBE, optimized geometry)" volume_a3_per_atom=8.80 relative_energy_mev_per_atom=2186.9 total_energy_ev_per_atom=-4.519 ef_kj_per_mol_atoms=310 total_magnetization_mub_per_fu=0.00 pbc="T T T"
C 1.234 2.137 1.252
C 2.467 -1.425 0.000
C 1.234 -2.137 1.252
C 2.467 0.000 1.252
C 2.467 1.425 0.000
Hg 0.000 0.000 0.000

=====

[8]
4
Lattice="-1.611 0.777 -2.500 -2.618 -0.442 1.550 0.080 7.271 2.208" Properties=species:S:1:pos:R:3 comment="Pa2AuC (GGA-PBE, optimized geometry)" volume_a3_per_atom=17.95 relative_energy_mev_per_atom=229.7 total_energy_ev_per_atom=-8.010 ef_kj_per_mol_atoms=-13 total_magnetization_mub_per_fu=0.00 pbc="T T T"
Au -2.075 3.803 0.629
Pa 0.064 5.865 1.781
Pa 0.015 1.406 0.427
C -2.115 0.167 -0.475

=====

[9]
6
Lattice="4.072 0.000 0.000 0.000 5.745 0.000 -2.036 -2.873 6.079" Properties=species:S:1:pos:R:3 comment="Tb2TmPt3 (GGA-PBE, optimized geometry)" volume_a3_per_atom=23.71 relative_energy_mev_per_atom=97.9 total_energy_ev_per_atom=-6.440 ef_kj_per_mol_atoms=-109 total_magnetization_mub_per_fu=0.00 pbc="T T T"
Pt 0.000 0.000 0.000
Pt 0.000 0.000 4.096
Pt 2.036 2.873 1.983
Tb 0.000 2.873 4.041
Tb 2.036 0.000 2.039
Tm 0.000 2.873 0.000

=====

[10]
5
Lattice="5.057 0.000 0.000 0.000 5.057 0.000 0.000 0.000 5.057" Properties=species:S:1:pos:R:3 comment="RbLiGa3 (GGA-PBE, optimized geometry)" volume_a3_per_atom=25.86 relative_energy_mev_per_atom=0.0 total_energy_ev_per_atom=-2.220 ef_kj_per_mol_atoms=17 total_magnetization_mub_per_fu=0.00 pbc="T T T"
Ga 2.528 0.000 0.000
Ga 0.000 0.000 2.528
Ga 0.000 2.528 0.000
Li 0.000 0.000 0.000
Rb 2.528 2.528 2.528

=====

[11]
4
Lattice="3.591 0.000 0.000 1.795 3.110 0.000 1.795 1.037 11.666" Properties=species:S:1:pos:R:3 comment="Sm2GdEr (GGA-PBE, optimized geometry)" volume_a3_per_atom=32.57 relative_energy_mev_per_atom=2.1 total_energy_ev_per_atom=-7.003 ef_kj_per_mol_atoms=2 total_magnetization_mub_per_fu=7.22 pbc="T T T"
Sm 5.386 3.110 8.780
Sm 1.795 1.037 2.886
Er 0.000 0.000 0.000
Gd 3.591 2.073 5.833

=====

[12]
10
Lattice="4.163 0.000 0.000 0.000 4.163 0.000 0.000 0.000 10.447" Properties=species:S:1:pos:R:3 comment="Tb2Al4Cu3Ag (GGA-PBE, optimized geometry)" volume_a3_per_atom=18.11 total_energy_ev_per_atom=-4.329 ef_kj_per_mol_atoms=-38 total_magnetization_mub_per_fu=0.00 pbc="T T T"
Al 0.000 2.082 3.739
Al 0.000 0.000 0.000
Al 2.082 0.000 6.708
Al 2.082 2.082 0.000
Ag 2.082 2.082 5.224
Tb 0.000 2.082 7.915
Tb 2.082 0.000 2.532
Cu 0.000 0.000 5.224
Cu 2.082 0.000 9.095
Cu 0.000 2.082 1.352